Entry 1:
! PBE+U FePtRhO6, optimized geometry; values from VASP
&SYSTEM
  ibrav = 0, nat = 18, ntyp = 4
/
ATOMIC_SPECIES
Fe 55.84 Fe.upf
Pt 195.08 Pt.upf
Rh 102.91 Rh.upf
O 16.00 O.upf
ATOMIC_POSITIONS crystal
Fe 0.333 0.667 0.250
Fe 0.667 0.333 0.750
Pt 0.667 0.333 0.250
Pt 0.333 0.667 0.750
Rh 0.000 0.000 0.000
Rh 0.000 0.000 0.500
O 0.651 0.663 0.125
O 0.011 0.349 0.125
O 0.349 0.011 0.625
O 0.989 0.651 0.875
O 0.337 0.349 0.375
O 0.011 0.663 0.375
O 0.663 0.011 0.875
O 0.651 0.989 0.375
O 0.989 0.337 0.625
O 0.337 0.989 0.125
O 0.663 0.651 0.625
O 0.349 0.337 0.875
CELL_PARAMETERS angstrom
5.040 0.000 0.000
-2.520 4.365 0.000
0.000 0.000 8.424
! **Space-group type**: P-31c
! **N(E_F)**: 5.66 states/eV/f.u.
! **Calculated total energy**: -53.9 eV/f.u.



Entry 2:
! PBE+U FeSbPt2O, optimized geometry; values from VASP
&SYSTEM
  ibrav = 0, nat = 5, ntyp = 4
/
ATOMIC_SPECIES
O 16.00 O.upf
Sb 121.76 Sb.upf
Fe 55.84 Fe.upf
Pt 195.08 Pt.upf
ATOMIC_POSITIONS crystal
O 0.500 0.500 0.500
Sb 0.000 0.500 0.000
Fe 0.000 0.000 0.000
Pt 0.000 0.000 0.500
Pt 0.500 0.000 0.000
CELL_PARAMETERS angstrom
-2.683 -0.504 3.734
-3.941 -1.001 -2.967
1.040 -4.505 0.139
! **Space-group type**: P4/mmm
! **N(E_F)**: 4.19 states/eV/f.u.
! **Calculated total energy**: -20.1 eV/f.u.



Entry 3:
! PBE+U FeSnPtO6, optimized geometry; values from VASP
&SYSTEM
  ibrav = 0, nat = 18, ntyp = 4
/
ATOMIC_SPECIES
Fe 55.84 Fe.upf
Sn 118.71 Sn.upf
Pt 195.08 Pt.upf
O 16.00 O.upf
ATOMIC_POSITIONS crystal
Fe 0.500 0.500 0.501
Fe 0.000 0.000 0.001
Sn 0.500 0.500 0.168
Sn 0.000 0.000 0.668
Pt 0.500 0.500 0.835
Pt 0.000 0.000 0.335
O 0.193 0.807 0.495
O 0.807 0.193 0.495
O 0.307 0.307 0.995
O 0.693 0.693 0.995
O 0.184 0.816 0.164
O 0.816 0.184 0.164
O 0.316 0.316 0.664
O 0.684 0.684 0.664
O 0.803 0.197 0.839
O 0.197 0.803 0.839
O 0.697 0.697 0.339
O 0.303 0.303 0.339
CELL_PARAMETERS angstrom
4.692 0.000 0.000
0.000 4.692 0.000
0.000 0.000 9.435
! **Space-group type**: P4_2nm
! **N(E_F)**: 5.25 states/eV/f.u.
! **Calculated total energy**: -54.1 eV/f.u.



Entry 4:
! PBE+U Sr2FePtO4, optimized geometry; values from VASP
&SYSTEM
  ibrav = 0, nat = 8, ntyp = 4
/
ATOMIC_SPECIES
Sr 87.62 Sr.upf
Fe 55.84 Fe.upf
Pt 195.08 Pt.upf
O 16.00 O.upf
ATOMIC_POSITIONS crystal
Sr 0.500 0.750 0.250
Sr 0.000 0.000 0.000
Fe 0.000 0.500 0.500
Pt 0.500 0.250 0.750
O 0.636 0.505 0.547
O 0.042 0.131 0.495
O 0.958 0.453 0.089
O 0.364 0.911 0.869
CELL_PARAMETERS angstrom
-1.351 -4.487 -2.725
5.378 0.540 0.414
-1.819 -0.141 5.104
! **Space-group type**: I-4
! **N(E_F)**: 0.00 states/eV/f.u.
! **Calculated total energy**: -48.7 eV/f.u.



Entry 5:
! PBE+U Sr3Fe2PtO9, optimized geometry; values from VASP
&SYSTEM
  ibrav = 0, nat = 15, ntyp = 4
/
ATOMIC_SPECIES
Sr 87.62 Sr.upf
Fe 55.84 Fe.upf
Pt 195.08 Pt.upf
O 16.00 O.upf
ATOMIC_POSITIONS crystal
Sr 0.333 0.667 0.672
Sr 0.000 0.000 0.000
Sr 0.667 0.333 0.328
Fe 0.333 0.667 0.159
Fe 0.667 0.333 0.841
Pt 0.000 0.000 0.500
O 0.833 0.167 0.666
O 0.833 0.666 0.666
O 0.334 0.167 0.666
O 0.666 0.833 0.334
O 0.167 0.334 0.334
O 0.167 0.833 0.334
O 0.500 0.000 0.000
O 0.000 0.500 0.000
O 0.500 0.500 0.000
CELL_PARAMETERS angstrom
-1.363 3.444 -4.211
-4.019 -2.208 3.229
0.461 5.406 4.272
! **Space-group type**: P-3m1
! **N(E_F)**: 8.37 states/eV/f.u.
! **Calculated total energy**: -93.6 eV/f.u.



Entry 6:
! PBE+U SrFePtO6, optimized geometry; values from VASP
&SYSTEM
  ibrav = 0, nat = 9, ntyp = 4
/
ATOMIC_SPECIES
Sr 87.62 Sr.upf
Fe 55.84 Fe.upf
Pt 195.08 Pt.upf
O 16.00 O.upf
ATOMIC_POSITIONS crystal
Sr 0.000 0.000 0.000
Fe 0.667 0.667 0.500
Pt 0.333 0.333 0.500
O 0.999 0.373 0.300
O 0.373 0.999 0.700
O 0.628 0.373 0.700
O 0.999 0.628 0.700
O 0.373 0.628 0.300
O 0.628 0.999 0.300
CELL_PARAMETERS angstrom
5.227 0.001 -0.001
2.614 4.526 -0.005
0.003 0.004 5.395
! **Space-group type**: P312
! **N(E_F)**: 5.51 states/eV/f.u.
! **Calculated total energy**: -53.5 eV/f.u.